Entry 1:
# CoNiIr2Os | the Alexandria database | GGA-PBE | relaxed
data_CoNiIr2Os
_space_group_name_H-M_alt 'P 4/m m m'
_space_group_IT_number 123
_space_group_name_Hall '-P 4 2'
_cell_length_a 4.4402
_cell_length_b 4.4402
_cell_length_c 4.3019
_cell_angle_alpha 90.00
_cell_angle_beta 90.00
_cell_angle_gamma 90.00
loop_
_atom_site_label
_atom_site_type_symbol
_atom_site_fract_x
_atom_site_fract_y
_atom_site_fract_z
_atom_site_occupancy
Co1 Co 0.0000 0.0000 0.0000 1
Ni1 Ni 0.5000 0.5000 0.5000 1
Ir1 Ir 0.0000 0.5000 0.0000 1
Os1 Os 0.0000 0.0000 0.5000 1
# Formation energy: 1.816 eV per atom
# Fermi-level density of states: 12.30 states/eV per cell
# Raw total energy: -32.8 eV/cell
# Theoretical density: 13.55 g/cm3

Entry 2:
# Nd3LuCo | the Alexandria database | GGA-PBE | relaxed
data_Nd3LuCo
_space_group_name_H-M_alt 'P m -3 m'
_space_group_IT_number 221
_space_group_name_Hall '-P 4 2 3'
_cell_length_a 5.4103
_cell_length_b 5.4103
_cell_length_c 5.4103
_cell_angle_alpha 90.00
_cell_angle_beta 90.00
_cell_angle_gamma 90.00
loop_
_atom_site_label
_atom_site_type_symbol
_atom_site_fract_x
_atom_site_fract_y
_atom_site_fract_z
_atom_site_occupancy
Nd1 Nd 0.0000 0.0000 0.5000 1
Lu1 Lu 0.5000 0.5000 0.5000 1
Co1 Co 0.0000 0.0000 0.0000 1
# Formation energy: 0.121 eV per atom
# Fermi-level density of states: 9.98 states/eV per cell
# Raw total energy: -25.3 eV/cell
# Theoretical density: 6.99 g/cm3

Entry 3:
# ZnTc | the Alexandria database | GGA-PBE | relaxed
data_ZnTc
_space_group_name_H-M_alt 'I 4/m m m'
_space_group_IT_number 139
_space_group_name_Hall '-I 4 2'
_cell_length_a 7.6301
_cell_length_b 7.6301
_cell_length_c 4.3293
_cell_angle_alpha 90.00
_cell_angle_beta 90.00
_cell_angle_gamma 90.00
loop_
_atom_site_label
_atom_site_type_symbol
_atom_site_fract_x
_atom_site_fract_y
_atom_site_fract_z
_atom_site_occupancy
Zn1 Zn 0.0000 0.2919 0.0000 1
Tc1 Tc 0.1627 0.1627 0.5000 1
# Formation energy: 0.133 eV per atom
# Fermi-level density of states: 6.39 states/eV per cell
# Raw total energy: -91.0 eV/cell
# Theoretical density: 8.61 g/cm3

Entry 4:
# DyPuSc2Se4 | the Alexandria database | GGA-PBE | relaxed
data_DyPuSc2Se4
_space_group_name_H-M_alt 'P 1 2/m 1'
_space_group_IT_number 10
_cell_length_a 6.9147
_cell_length_b 3.9667
_cell_length_c 6.9250
_cell_angle_alpha 90.00
_cell_angle_beta 109.07
_cell_angle_gamma 90.00
loop_
_space_group_symop_operation_xyz
'x,y,z'
'-x,-y,-z'
'-x,y,-z'
'x,-y,z'
loop_
_atom_site_label
_atom_site_type_symbol
_atom_site_fract_x
_atom_site_fract_y
_atom_site_fract_z
_atom_site_occupancy
Dy1 Dy 0.0000 0.0000 0.0000 1
Pu1 Pu 0.5000 0.5000 0.0000 1
Sc1 Sc 0.0000 0.5000 0.5000 1
Sc2 Sc 0.5000 0.0000 0.5000 1
Se1 Se 0.2417 0.0000 0.7320 1
Se2 Se 0.2529 0.5000 0.2666 1
# Uncorrected formation energy: -1.629 eV per atom
# Fermi-level density of states: 9.43 states/eV per cell
# Raw total energy: -58.6 eV/cell
# Theoretical density: 7.51 g/cm3

Entry 5:
# Li5InBi6 | the Alexandria database | GGA-PBE | relaxed
data_Li5InBi6
_space_group_name_H-M_alt 'C 1 2/m 1'
_space_group_IT_number 12
_cell_length_a 14.6439
_cell_length_b 4.6824
_cell_length_c 8.9016
_cell_angle_alpha 90.00
_cell_angle_beta 90.04
_cell_angle_gamma 90.00
loop_
_space_group_symop_operation_xyz
'x,y,z'
'-x,-y,-z'
'-x,y,-z'
'x,-y,z'
'x+1/2,y+1/2,z'
'-x+1/2,-y+1/2,-z'
'-x+1/2,y+1/2,-z'
'x+1/2,-y+1/2,z'
loop_
_atom_site_label
_atom_site_type_symbol
_atom_site_fract_x
_atom_site_fract_y
_atom_site_fract_z
_atom_site_occupancy
Li1 Li 0.0000 0.0000 0.0000 1
Li2 Li 0.1649 0.5000 0.4999 1
Li3 Li 0.1701 0.5000 0.0001 1
In1 In 0.0000 0.0000 0.5000 1
Bi1 Bi 0.0001 0.5000 0.2294 1
Bi2 Bi 0.1693 0.0000 0.7622 1
Bi3 Bi 0.1695 0.0000 0.2378 1
# Formation energy: -0.292 eV per atom
# Fermi-level density of states: 6.08 states/eV per cell
# Raw total energy: -78.2 eV/cell
# Theoretical density: 7.64 g/cm3

Entry 6:
# BC5 | the Alexandria database | GGA-PBE | relaxed
data_BC5
_space_group_name_H-M_alt 'P m m 2'
_space_group_IT_number 25
_cell_length_a 2.5181
_cell_length_b 7.6776
_cell_length_c 3.7375
_cell_angle_alpha 90.00
_cell_angle_beta 90.00
_cell_angle_gamma 90.00
loop_
_space_group_symop_operation_xyz
'x,y,z'
'-x,-y,z'
'-x,y,z'
'x,-y,z'
loop_
_atom_site_label
_atom_site_type_symbol
_atom_site_fract_x
_atom_site_fract_y
_atom_site_fract_z
_atom_site_occupancy
B1 B 0.0000 0.1676 0.0000 1
C1 C 0.0000 0.0000 0.7493 1
C2 C 0.0000 0.3400 0.7512 1
C3 C 0.0000 0.5000 0.0081 1
C4 C 0.5000 0.0000 0.5139 1
C5 C 0.5000 0.1685 0.2871 1
C6 C 0.5000 0.3363 0.5095 1
C7 C 0.5000 0.5000 0.2495 1
# Formation energy: 0.263 eV per atom
# Fermi-level density of states: 2.67 states/eV per cell
# Raw total energy: -102.4 eV/cell
# Theoretical density: 3.26 g/cm3

Entry 7:
# K3Bi6F20 | the Alexandria database | GGA-PBE | relaxed
data_K3Bi6F20
_space_group_name_H-M_alt 'F m -3 m'
_space_group_IT_number 225
_space_group_name_Hall '-F 4 2 3'
_cell_length_a 12.3041
_cell_length_b 12.3041
_cell_length_c 12.3041
_cell_angle_alpha 90.00
_cell_angle_beta 90.00
_cell_angle_gamma 90.00
loop_
_atom_site_label
_atom_site_type_symbol
_atom_site_fract_x
_atom_site_fract_y
_atom_site_fract_z
_atom_site_occupancy
K1 K 0.0000 0.0000 0.0000 1
K2 K 0.2500 0.2500 0.2500 1
Bi1 Bi 0.0000 0.0000 0.2656 1
F1 F 0.0000 0.1602 0.1602 1
F2 F 0.1148 0.1148 0.3852 1
# Uncorrected formation energy: -2.426 eV per atom
# Fermi-level density of states: 18.28 states/eV per cell
# Raw total energy: -537.4 eV/cell
# Theoretical density: 6.24 g/cm3

Entry 8:
# CaLaI2N | the Alexandria database | GGA-PBE | relaxed
data_CaLaI2N
_space_group_name_H-M_alt 'P 4/m m m'
_space_group_IT_number 123
_space_group_name_Hall '-P 4 2'
_cell_length_a 6.5687
_cell_length_b 6.5687
_cell_length_c 4.2195
_cell_angle_alpha 90.00
_cell_angle_beta 90.00
_cell_angle_gamma 90.00
loop_
_atom_site_label
_atom_site_type_symbol
_atom_site_fract_x
_atom_site_fract_y
_atom_site_fract_z
_atom_site_occupancy
Ca1 Ca 0.0000 0.0000 0.0000 1
La1 La 0.5000 0.5000 0.5000 1
I1 I 0.0000 0.5000 0.5000 1
N1 N 0.5000 0.5000 0.0000 1
# Uncorrected formation energy: -0.752 eV per atom
# Fermi-level density of states: 1.75 states/eV per cell
# Raw total energy: -22.1 eV/cell
# Theoretical density: 4.08 g/cm3

Entry 9:
# K6Au2F | the Alexandria database | GGA-PBE | relaxed
data_K6Au2F
_space_group_name_H-M_alt 'P 1 21/c 1'
_space_group_IT_number 14
_cell_length_a 7.5079
_cell_length_b 8.7606
_cell_length_c 12.8628
_cell_angle_alpha 90.00
_cell_angle_beta 124.00
_cell_angle_gamma 90.00
loop_
_space_group_symop_operation_xyz
'x,y,z'
'-x,-y,-z'
'-x,y+1/2,-z+1/2'
'x,-y+1/2,z+1/2'
loop_
_atom_site_label
_atom_site_type_symbol
_atom_site_fract_x
_atom_site_fract_y
_atom_site_fract_z
_atom_site_occupancy
K1 K 0.1390 0.0279 0.2440 1
K2 K 0.2065 0.7021 0.0547 1
K3 K 0.3555 0.1574 0.0509 1
Au1 Au 0.2944 0.1072 0.7502 1
F1 F 0.0000 0.0000 0.0000 1
# Uncorrected formation energy: -0.720 eV per atom
# Fermi-level density of states: 9.80 states/eV per cell
# Raw total energy: -43.0 eV/cell
# Theoretical density: 3.07 g/cm3

Entry 10:
# BaTaTe | the Alexandria database | GGA-PBE | relaxed
data_BaTaTe
_space_group_name_H-M_alt 'I 4 m m'
_space_group_IT_number 107
_space_group_name_Hall 'I 4 -2'
_cell_length_a 3.7005
_cell_length_b 3.7005
_cell_length_c 12.9432
_cell_angle_alpha 90.00
_cell_angle_beta 90.00
_cell_angle_gamma 90.00
loop_
_atom_site_label
_atom_site_type_symbol
_atom_site_fract_x
_atom_site_fract_y
_atom_site_fract_z
_atom_site_occupancy
Ba1 Ba 0.0000 0.0000 0.0000 1
Ta1 Ta 0.0000 0.0000 0.3067 1
Te1 Te 0.0000 0.0000 0.7193 1
# Uncorrected formation energy: 0.078 eV per atom
# Fermi-level density of states: 4.35 states/eV per cell
# Raw total energy: -33.4 eV/cell
# Theoretical density: 8.35 g/cm3

Entry 11:
# SmFeNiC | the Alexandria database | GGA-PBE | relaxed
data_SmFeNiC
_space_group_name_H-M_alt 'P 4/n m m'
_space_group_IT_number 129
_cell_length_a 3.4413
_cell_length_b 3.4413
_cell_length_c 9.5575
_cell_angle_alpha 90.00
_cell_angle_beta 90.00
_cell_angle_gamma 90.00
loop_
_space_group_symop_operation_xyz
'x,y,z'
'-x,-y,-z'
'-y+1/2,x,z'
'y+1/2,-x,-z'
'-x+1/2,-y+1/2,z'
'x+1/2,y+1/2,-z'
'y,-x+1/2,z'
'-y,x+1/2,-z'
'x+1/2,-y,-z'
'-x+1/2,y,z'
'-y,-x,-z'
'y,x,z'
'-x,y+1/2,-z'
'x,-y+1/2,z'
'y+1/2,x+1/2,-z'
'-y+1/2,-x+1/2,z'
loop_
_atom_site_label
_atom_site_type_symbol
_atom_site_fract_x
_atom_site_fract_y
_atom_site_fract_z
_atom_site_occupancy
Sm1 Sm 0.2500 0.2500 0.2432 1
Fe1 Fe 0.2500 0.7500 0.5000 1
Ni1 Ni 0.2500 0.7500 0.0000 1
C1 C 0.2500 0.2500 0.5947 1
# Formation energy: -0.138 eV per atom
# Fermi-level density of states: 6.62 states/eV per cell
# Raw total energy: -57.5 eV/cell
# Theoretical density: 8.13 g/cm3